[1]
Below is a relaxed structure of ErTmSbS, with properties calculated at the PBE-GGA level.

Cell lengths 4.0339, 4.0332, 7.3742 Å; angles 90.00, 105.88, 120.00 degrees
Sites, in units of the cell vectors:
1 Er 0.9517 0.3738 0.3408
2 Tm 0.3243 0.5601 0.8996
3 Sb 0.4724 0.1342 0.6215
4 S 0.1295 0.9627 0.1077

**Total magnetization**: 0.000 μB per formula unit
**Space group**: No. 160
**Formation energy from raw total energies**: -1.412 eV/atom

=====

[2]
Below is a relaxed structure of Er3ScS6, with properties calculated at the PBE-GGA level.

Cell lengths 7.8521, 7.8521, 7.8521 Å; angles 91.18, 91.18, 91.18 degrees
Sites, in units of the cell vectors:
1 Er 0.4295 0.9210 0.7519
2 Er 0.9210 0.7519 0.4295
3 Er 0.2481 0.5705 0.0790
4 Er 0.7519 0.4295 0.9210
5 Er 0.0790 0.2481 0.5705
6 Er 0.5705 0.0790 0.2481
7 Sc 0.0000 0.0000 0.0000
8 Sc 0.5000 0.5000 0.5000
9 S 0.3086 0.9162 0.0818
10 S 0.0838 0.9182 0.6914
11 S 0.5881 0.8113 0.4591
12 S 0.9182 0.6914 0.0838
13 S 0.4591 0.5881 0.8113
14 S 0.1887 0.5409 0.4119
15 S 0.8113 0.4591 0.5881
16 S 0.5409 0.4119 0.1887
17 S 0.0818 0.3086 0.9162
18 S 0.4119 0.1887 0.5409
19 S 0.9162 0.0818 0.3086
20 S 0.6914 0.0838 0.9182

**Energy relative to the lowest polymorph listed for this composition**: 0 meV per atom
**Total magnetization**: 0.000 μB per formula unit
**Space group**: No. 148
**Formation energy from raw total energies**: -2.026 eV/atom

=====

[3]
Below is a relaxed structure of ErSc2S, with properties calculated at the PBE-GGA level.

Cell lengths 3.5491, 3.5491, 8.8023 Å; angles 78.37, 78.37, 60.00 degrees
Last column: magnetic moment on the atom in μB.
Sites, in units of the cell vectors:
1 Er 0.4998 0.4998 0.5005  0.25
2 Sc 0.0596 0.0596 0.8211  0.07
3 Sc 0.2740 0.2740 0.1780  0.03
4 S 0.6665 0.6665 0.0004  0.00

**Energy relative to the lowest polymorph listed for this composition**: 0 meV per atom
**Total magnetization**: 0.501 μB per formula unit
**Space group**: No. 160
**Formation energy from raw total energies**: -0.913 eV/atom

=====

[4]
Below is a relaxed structure of Er3Sc2S6, with properties calculated at the PBE-GGA level.

Cell lengths 6.6096, 6.5918, 6.4695 Å; angles 80.21, 70.17, 59.91 degrees
Sites, in units of the cell vectors:
1 Er 0.0000 0.0000 0.0000
2 Er 0.3370 0.3259 0.0000
3 Er 0.6630 0.6741 0.0000
4 Sc 0.1649 0.6701 0.5000
5 Sc 0.8351 0.3299 0.5000
6 S 0.4201 0.6639 0.7406
7 S 0.7555 0.0000 0.7349
8 S 0.0840 0.3361 0.7406
9 S 0.2445 0.0000 0.2651
10 S 0.5799 0.3361 0.2594
11 S 0.9160 0.6639 0.2594

**Total magnetization**: 0.000 μB per formula unit
**Space group**: No. 12
**Formation energy from raw total energies**: -2.006 eV/atom

=====

Asked for D(E_F) across the records above, the calculation gives 2.6, 0.0, 3.7, 4.0 states/eV/f.u. in order.